VASP calculation (GGA-PBE) on crystalline Lu2S3 at its relaxed geometry.

```
Lu2S3
1.0
2.5237 2.4929 -6.2789
-4.0441 3.2850 -4.9862
0.5124 6.9940 -1.6822
S Lu
6 4
direct
0.0534 0.4466 0.7500 S
0.7500 0.0534 0.4466 S
0.2500 0.9466 0.5534 S
0.5534 0.2500 0.9466 S
0.9466 0.5534 0.2500 S
0.4466 0.7500 0.0534 S
0.8489 0.8489 0.8489 Lu
0.1511 0.1511 0.1511 Lu
0.6511 0.6511 0.6511 Lu
0.3489 0.3489 0.3489 Lu
```

Computed properties:
* raw total energy: -0.466 Ry/atom

---

VASP calculation (GGA-PBE) on crystalline P2S2F at its relaxed geometry.

```
P2S2F
1.0
-2.5894 2.4743 2.5352
0.8362 -2.6245 3.4157
3.5968 2.6109 1.1255
P S F
2 2 1
direct
0.0000 0.0000 0.0000 P
0.0000 0.0000 0.5000 P
0.5000 0.0000 0.0000 S
0.0000 0.5000 0.0000 S
0.5000 0.5000 0.5000 F
```

Computed properties:
* raw total energy: -0.265 Ry/atom

---

VASP calculation (GGA-PBE) on crystalline ZnTc2HgGe at its relaxed geometry.

```
ZnTc2HgGe
1.0
-3.4454 3.1406 0.3839
-0.3754 0.1402 -4.5161
-3.1402 -3.4637 0.1535
Ge Tc Hg Zn
1 2 1 1
direct
0.0000 0.0000 0.0000 Ge
0.0000 0.0000 0.5000 Tc
0.5000 0.0000 0.0000 Tc
0.5000 0.5000 0.5000 Hg
0.0000 0.5000 0.0000 Zn
```

Computed properties:
* energy relative to the elements: 1.02 eV per atom

---

VASP calculation (GGA-PBE) on crystalline LiNbTeN2 at its relaxed geometry.

```
LiNbTeN2
1.0
3.9231 0.0000 0.0000
0.0000 4.4315 0.0000
0.0000 0.0000 3.9231
Te Nb Li N
1 1 1 2
direct
0.5000 0.5000 0.5000 Te
0.0000 0.5000 0.0000 Nb
0.0000 0.0000 0.0000 Li
0.5000 0.0000 0.0000 N
0.0000 0.0000 0.5000 N
```

Computed properties:
* raw total energy: -0.351 Ry/atom

---

VASP calculation (GGA-PBE) on crystalline LaSnP3 at its relaxed geometry.

```
LaSnP3
1.0
-2.3202 4.4208 -0.4493
-2.9256 -1.9013 -3.5993
-3.3446 -1.4037 3.4601
Sn P La
1 3 1
direct
0.0000 0.0000 0.0000 Sn
0.5000 0.0000 0.0000 P
0.0000 0.5000 0.0000 P
0.0000 0.0000 0.5000 P
0.5000 0.5000 0.5000 La
```

Computed properties:
* energy relative to the elements: 0.12 eV per atom

---

VASP calculation (GGA-PBE) on crystalline La3PC at its relaxed geometry.

```
La3PC
1.0
5.0643 0.0000 0.0000
0.0000 5.0643 0.0000
0.0000 0.0000 5.0643
La C P
3 1 1
direct
0.5000 0.0000 0.0000 La
0.0000 0.5000 0.0000 La
0.0000 0.0000 0.5000 La
0.0000 0.0000 0.0000 C
0.5000 0.5000 0.5000 P
```

Computed properties:
* energy relative to the elements: -0.39 eV per atom